Density functional theory data (PBE-GGA) for a geometry-optimized TiRhI2 structure.

## Properties
E_tot ... -4.299 eV per atom

Cell lengths 4.9283, 4.9283, 4.9283 Å; angles 60.00, 60.00, 60.00 degrees
Closest atoms and distances in Å follow each position.
Atoms (fractional coordinates):
1 I 0.2500 0.2500 0.2500  4 Rh 3.02, 4 Ti 3.02
2 I 0.7500 0.7500 0.7500  4 Rh 3.02, 4 Ti 3.02
3 Rh 0.5000 0.5000 0.5000  8 I 3.02
4 Ti 0.0000 0.0000 0.0000  8 I 3.02

---

Density functional theory data (PBE-GGA) for a geometry-optimized Pm5SbSe4 structure.

## Properties
E_tot ... -5.883 eV per atom

Cell lengths 6.0377, 7.3784, 7.3784 Å; angles 80.36, 65.85, 65.85 degrees
Closest atoms and distances in Å follow each position.
Atoms (fractional coordinates):
1 Pm 0.9002 0.4089 0.7926  5 Se 2.98-3.02, 1 Sb 3.09
2 Pm 0.3091 0.7926 0.5911  5 Se 2.98-3.02, 1 Sb 3.09
3 Pm 0.6928 0.2074 0.4089  5 Se 2.98-3.02, 1 Sb 3.09
4 Pm 0.1017 0.5911 0.2074  5 Se 2.98-3.02, 1 Sb 3.09
5 Pm 0.5013 0.0000 0.0000  4 Se 3.01, 2 Sb 3.02
6 Sb 0.0014 0.0000 0.0000  6 Pm 3.02-3.09
7 Se 0.3967 0.4031 0.8055  6 Pm 2.98-3.02
8 Se 0.7998 0.8055 0.5969  6 Pm 2.98-3.02
9 Se 0.2021 0.1945 0.4031  6 Pm 2.98-3.02
10 Se 0.6053 0.5969 0.1945  6 Pm 2.98-3.02

---

Density functional theory data (PBE-GGA) for a geometry-optimized ScTlCd2 structure.

## Properties
DFT formation energy ... -0.10 eV/atom

Cell lengths 5.4192, 5.4192, 3.4641 Å; angles 90.00, 90.00, 109.77 degrees
Closest atoms and distances in Å follow each position.
Atoms (fractional coordinates):
1 Sc 0.5000 0.0000 0.5000  2 Tl 3.12, 8 Cd 3.22, 2 Sc 3.46
2 Tl 0.0000 0.5000 0.5000  2 Sc 3.12, 8 Cd 3.22, 2 Tl 3.46
3 Cd 0.0000 0.0000 0.0000  4 Cd 3.12-3.46, 4 Sc 3.22, 4 Tl 3.22
4 Cd 0.5000 0.5000 0.0000  4 Cd 3.12-3.46, 4 Tl 3.22, 4 Sc 3.22

---

Density functional theory data (PBE-GGA) for a geometry-optimized BMoRh structure.

## Properties
DFT formation energy ... -0.16 eV/atom

Cell lengths 3.0943, 4.8639, 4.9332 Å; angles 87.50, 90.00, 90.00 degrees
Closest atoms and distances in Å follow each position.
Atoms (fractional coordinates):
1 B 0.7500 0.8016 0.4814  3 Rh 2.07-2.19, 3 Mo 2.23-2.30
2 B 0.2500 0.1984 0.5186  3 Rh 2.07-2.19, 3 Mo 2.23-2.30
3 Rh 0.7500 0.1153 0.7877  3 B 2.07-2.19
4 Rh 0.2500 0.8847 0.2123  3 B 2.07-2.19
5 Mo 0.7500 0.4000 0.2508  3 B 2.23-2.30
6 Mo 0.2500 0.6000 0.7492  3 B 2.23-2.30

---

Density functional theory data (PBE-GGA) for a geometry-optimized Sr2Ge3BiPd4 structure.

## Properties
DFT formation energy ... -0.65 eV/atom

Cell lengths 4.5178, 4.5178, 10.6378 Å; angles 90.00, 90.00, 90.00 degrees
Closest atoms and distances in Å follow each position.
Atoms (fractional coordinates):
1 Sr 0.5000 0.0000 0.2391  8 Pd 3.40, 7 Ge 3.47-3.74, 2 Bi 3.58
2 Sr 0.0000 0.5000 0.7609  8 Pd 3.40, 7 Ge 3.47-3.74, 2 Bi 3.58
3 Ge 0.0000 0.0000 0.5000  4 Pd 2.78
4 Ge 0.5000 0.0000 0.8875  5 Pd 2.51-2.56
5 Ge 0.0000 0.5000 0.1125  5 Pd 2.51-2.56
6 Bi 0.5000 0.5000 0.5000  4 Pd 2.78
7 Pd 0.5000 0.5000 0.0000  4 Ge 2.56
8 Pd 0.0000 0.0000 0.0000  4 Ge 2.56
9 Pd 0.5000 0.0000 0.6519  3 Ge 2.51-2.78, 2 Bi 2.78
10 Pd 0.0000 0.5000 0.3481  3 Ge 2.51-2.78, 2 Bi 2.78

---

Density functional theory data (PBE-GGA) for a geometry-optimized CaPu3Te4 structure.

## Properties
E_tot ... -8.401 eV per atom

Cell lengths 4.4581, 7.7371, 7.7371 Å; angles 109.41, 90.00, 90.00 degrees
Closest atoms and distances in Å follow each position.
Atoms (fractional coordinates):
1 Ca 0.5000 0.0000 0.0000  6 Te 3.16-3.17
2 Pu 0.0000 0.0000 0.5000  6 Te 3.16
3 Pu 0.5000 0.5000 0.5000  6 Te 3.15
4 Pu 0.0000 0.5000 0.0000  6 Te 3.16
5 Te 0.0000 0.2508 0.2508  4 Pu 3.15-3.16, 2 Ca 3.16
6 Te 0.5000 0.7492 0.2508  5 Pu 3.15-3.16, 1 Ca 3.17
7 Te 0.0000 0.7492 0.7492  4 Pu 3.15-3.16, 2 Ca 3.16
8 Te 0.5000 0.2508 0.7492  5 Pu 3.15-3.16, 1 Ca 3.17

---

Density functional theory data (PBE-GGA) for a geometry-optimized Ba2SnO structure.

## Properties
E_tot ... -4.543 eV per atom

Cell lengths 7.8617, 7.8617, 7.2598 Å; angles 57.22, 57.22, 90.00 degrees
Closest atoms and distances in Å follow each position.
Atoms (fractional coordinates):
1 Ba 0.5188 0.1250 0.2500  2 O 2.55
2 Ba 0.2312 0.6250 0.2500  2 O 2.55
3 Ba 0.3750 0.4812 0.7500  2 O 2.55
4 Ba 0.8750 0.7688 0.7500  2 O 2.55
5 O 0.5000 0.5000 0.0000  4 Ba 2.55
6 O 0.2500 0.7500 0.5000  4 Ba 2.55
7 Sn 0.0000 0.0000 0.0000  4 Ba 3.61
8 Sn 0.7500 0.2500 0.5000  4 Ba 3.61

---

Density functional theory data (PBE-GGA) for a geometry-optimized SbAuCl2 structure.

## Properties
E_tot ... -2.560 eV per atom

Cell lengths 5.4174, 5.4174, 3.1592 Å; angles 90.00, 90.00, 106.69 degrees
Closest atoms and distances in Å follow each position.
Atoms (fractional coordinates):
1 Sb 0.5000 0.0000 0.5000  8 Cl 3.14, 2 Sb 3.16, 2 Au 3.23
2 Au 0.0000 0.5000 0.5000  8 Cl 3.14, 2 Au 3.16, 2 Sb 3.23
3 Cl 0.0000 0.0000 0.0000  4 Sb 3.14, 4 Au 3.14, 4 Cl 3.16-3.23
4 Cl 0.5000 0.5000 0.0000  4 Au 3.14, 4 Sb 3.14, 4 Cl 3.16-3.23